An optimized crystal structure of RbTbCr2O8, computed with PBE with a Hubbard U.

Summary:
DOS at the Fermi energy ... 0.000 states/eV per atom
Calculated total energy ... -0.5089 Ry/atom

Cell lengths 5.8098, 5.8098, 8.0585 Å; angles 90.00, 90.00, 120.00 degrees
Space group P-3m1 (No. 164)
Unique sites:
Rb 0.0000 0.0000 0.0000 x1
Tb 0.0000 0.0000 0.5000 x1
Cr 0.3333 0.6667 0.7436 x2
O 0.1756 0.3513 0.6755 x6
O 0.3333 0.6667 0.9448 x2